# GGA-PBE Ca2LaTc, relaxed
# **Total DFT energy (no corrections)**: -4.25 eV per atom
# **Energy above the most stable polymorph in this dataset**: 346 meV/atom
# **Crystal system**: trigonal
# **Energy relative to the elements**: 570 meV per atom
data_Ca2LaTc
_cell_length_a 3.4374
_cell_length_b 3.4374
_cell_length_c 34.1095
_cell_angle_alpha 90.00
_cell_angle_beta 90.00
_cell_angle_gamma 120.00
_space_group_name_H-M_alt 'R -3 m'
_space_group_IT_number 166
_space_group_name_Hall '-R 3 2"'
loop_
_atom_site_label
_atom_site_fract_x
_atom_site_fract_y
_atom_site_fract_z
Ca1 0.0000 0.0000 0.2318
La1 0.0000 0.0000 0.0000
Tc1 0.0000 0.0000 0.5000